[1]
A relaxed RbSrN2O crystal. Source: Alexandria via LeMat-Bulk, functional PBE-GGA.

It has space group P4/mmm (No. 123), with a = 4.726 Å, b = 4.726 Å, c = 4.433 Å, α = 90.00°, β = 90.00° and γ = 90.00°. The distinct sites, in fractional coordinates, are Rb at (0.000, 0.000, 0.000), Sr at (0.500, 0.500, 0.000), N at (0.000, 0.500, 0.500) and O at (0.500, 0.500, 0.500).

The value obtained for the uncorrected formation energy is 0.949 eV per atom.

---

[2]
A relaxed Cu4Te5Cl4O12 crystal. Source: Alexandria via LeMat-Bulk, functional PBE-GGA.

It has space group P4/n (No. 85, origin choice 2), with a = 11.593 Å, b = 11.593 Å, c = 6.390 Å, α = 90.00°, β = 90.00° and γ = 90.00°. The distinct sites, in fractional coordinates, are Cu at (0.094, 0.749, 0.149), Te at (0.020, 0.681, 0.627), Te at (0.250, 0.250, 0.135), Cl at (0.053, 0.378, 0.828), O at (0.077, 0.795, 0.441), O at (0.097, 0.209, 0.272) and O at (0.127, 0.718, 0.854).

The value obtained for the uncorrected formation energy is -0.824 eV per atom.

---

Number 1: final energy -19.5 eV for the cell shown. Number 2: final energy -239.2 eV for the cell shown.